#w
The following is a DFT calculation (GGA-PBE) of crystalline CsOs at its relaxed geometry.

Unit cell a=9.2168 b=6.8916 c=10.5004 alpha=90.00 beta=90.00 gamma=90.00
With the nearest neighbours (Å) after each atom.
Atoms (fractional coordinates):
Cs: 0.0950 0.2500 0.2208  6 Os 3.68-3.76, 2 Cs 3.88
Cs: 0.0993 0.2500 0.7767  6 Os 3.67-3.74, 2 Cs 3.88
Cs: 0.4007 0.7500 0.2767  6 Os 3.67-3.74, 2 Cs 3.88
Cs: 0.4050 0.7500 0.7208  6 Os 3.68-3.76, 2 Cs 3.88
Cs: 0.5950 0.2500 0.2792  6 Os 3.68-3.76, 2 Cs 3.88
Cs: 0.5993 0.2500 0.7233  6 Os 3.67-3.74, 2 Cs 3.88
Cs: 0.9007 0.7500 0.2233  6 Os 3.67-3.74, 2 Cs 3.88
Cs: 0.9050 0.7500 0.7792  6 Os 3.68-3.76, 2 Cs 3.88
Os: 0.1103 0.5812 0.4996  2 Os 2.32-2.33
Os: 0.1103 0.9188 0.4996  2 Os 2.32-2.33
Os: 0.3897 0.0812 0.9996  2 Os 2.32-2.33
Os: 0.3897 0.4188 0.9996  2 Os 2.32-2.33
Os: 0.6103 0.5812 0.0004  2 Os 2.32-2.33
Os: 0.6103 0.9188 0.0004  2 Os 2.32-2.33
Os: 0.8897 0.0812 0.5004  2 Os 2.32-2.33
Os: 0.8897 0.4188 0.5004  2 Os 2.32-2.33

Calculated values
- Crystal system: orthorhombic
- Theoretical density: 6.44 g/cm³

---

#x
The following is a DFT calculation (GGA-PBE) of crystalline CsOs at its relaxed geometry.

Unit cell a=10.2253 b=10.2253 c=10.2253 alpha=90.00 beta=90.00 gamma=90.00
With the nearest neighbours (Å) after each atom.
Atoms (fractional coordinates):
Cs: 0.0000 0.2500 0.5000  4 Os 3.62
Cs: 0.0000 0.7500 0.5000  4 Os 3.62
Cs: 0.2500 0.5000 0.0000  4 Os 3.62
Cs: 0.5000 0.0000 0.2500  4 Os 3.62
Cs: 0.5000 0.0000 0.7500  4 Os 3.62
Cs: 0.7500 0.5000 0.0000  4 Os 3.62
Os: 0.0000 0.5000 0.2500  4 Cs 3.62
Os: 0.0000 0.5000 0.7500  4 Cs 3.62
Os: 0.2500 0.0000 0.5000  4 Cs 3.62
Os: 0.5000 0.2500 0.0000  4 Cs 3.62
Os: 0.5000 0.7500 0.0000  4 Cs 3.62
Os: 0.7500 0.0000 0.5000  4 Cs 3.62

Calculated values
- Crystal system: cubic
- Theoretical density: 3.01 g/cm³

---

Of them, #x has the lowest stability.

---

#w
The following is a DFT calculation (GGA-PBE) of crystalline CsOs at its relaxed geometry.

Unit cell a=3.1023 b=3.1023 c=6.1023 alpha=90.00 beta=90.00 gamma=120.00
With the nearest neighbours (Å) after each atom.
Atoms (fractional coordinates):
Cs: 0.0000 0.0000 0.0000  6 Cs 3.10
Os: 0.6667 0.3333 0.5000  6 Os 3.10

Calculated values
- Crystal system: hexagonal
- Theoretical density: 10.55 g/cm³

---

#x
The following is a DFT calculation (GGA-PBE) of crystalline CsOs at its relaxed geometry.

Unit cell a=14.5115 b=14.5115 c=3.9284 alpha=90.00 beta=90.00 gamma=120.00
With the nearest neighbours (Å) after each atom.
Atoms (fractional coordinates):
Cs: 0.1789 0.7486 0.2500  4 Os 3.43-3.69
Cs: 0.2514 0.4303 0.2500  4 Os 3.43-3.69
Cs: 0.4303 0.1789 0.7500  4 Os 3.43-3.69
Cs: 0.5697 0.8211 0.2500  4 Os 3.43-3.69
Cs: 0.7486 0.5697 0.7500  4 Os 3.43-3.69
Cs: 0.8211 0.2514 0.7500  4 Os 3.43-3.69
Os: 0.0246 0.4764 0.2500  2 Os 2.31
Os: 0.4517 0.9754 0.2500  2 Os 2.31
Os: 0.4764 0.4517 0.7500  2 Os 2.31
Os: 0.5236 0.5483 0.2500  2 Os 2.31
Os: 0.5483 0.0246 0.7500  2 Os 2.31
Os: 0.9754 0.5236 0.7500  2 Os 2.31

Calculated values
- Crystal system: hexagonal
- Theoretical density: 4.49 g/cm³

---

#y
The following is a DFT calculation (GGA-PBE) of crystalline CsOs at its relaxed geometry.

Unit cell a=6.8506 b=6.8506 c=6.8506 alpha=145.30 beta=127.25 gamma=64.69
With the nearest neighbours (Å) after each atom.
Atoms (fractional coordinates):
Cs: 0.3532 0.1032 0.2500  8 Os 3.78-4.08, 6 Cs 3.87-4.09
Cs: 0.6468 0.8968 0.7500  8 Os 3.78-4.08, 6 Cs 3.87-4.09
Os: 0.0476 0.2976 0.7500  2 Os 2.32
Os: 0.9524 0.7024 0.2500  2 Os 2.32

Calculated values
- Crystal system: orthorhombic
- Theoretical density: 7.46 g/cm³

---

Of them, #w has the lowest stability.

---

#w
The following is a DFT calculation (GGA-PBE) of crystalline CsOs at its relaxed geometry.

Unit cell a=10.7680 b=10.7680 c=10.7680 alpha=91.91 beta=91.91 gamma=158.96
With the nearest neighbours (Å) after each atom.
Atoms (fractional coordinates):
Cs: 0.0346 0.2494 0.2840  4 Os 3.42-3.71
Cs: 0.2494 0.9654 0.2148  4 Os 3.42-3.71
Cs: 0.7506 0.0346 0.7852  4 Os 3.42-3.71
Cs: 0.9654 0.7506 0.7160  4 Os 3.42-3.71
Os: 0.2107 0.7406 0.9513  2 Os 2.31
Os: 0.2594 0.2107 0.4701  2 Os 2.31
Os: 0.7406 0.7893 0.5299  2 Os 2.31
Os: 0.7893 0.2594 0.0487  2 Os 2.31

Calculated values
- Crystal system: tetragonal
- Theoretical density: 4.87 g/cm³

---

#x
The following is a DFT calculation (GGA-PBE) of crystalline CsOs at its relaxed geometry.

Unit cell a=8.9592 b=8.0697 c=5.9705 alpha=77.72 beta=61.65 gamma=40.63
With the nearest neighbours (Å) after each atom.
Atoms (fractional coordinates):
Cs: 0.0403 0.7097 0.0403  2 Os 3.15, 1 Cs 3.33
Cs: 0.2903 0.9597 0.2903  2 Os 3.15, 1 Cs 3.33
Cs: 0.7097 0.0403 0.7097  2 Os 3.15, 1 Cs 3.33
Cs: 0.9597 0.2903 0.9597  2 Os 3.15, 1 Cs 3.33
Os: 0.2991 0.2991 0.4509  1 Os 2.25
Os: 0.4509 0.4509 0.2991  1 Os 2.25
Os: 0.5491 0.5491 0.7009  1 Os 2.25
Os: 0.7009 0.7009 0.5491  1 Os 2.25

Calculated values
- Crystal system: orthorhombic
- Theoretical density: 8.98 g/cm³

---

Of them, #x has the lowest stability.

---

#w
The following is a DFT calculation (GGA-PBE) of crystalline CsOs at its relaxed geometry.

Unit cell a=7.6591 b=7.6591 c=7.2306 alpha=90.00 beta=90.00 gamma=90.00
With the nearest neighbours (Å) after each atom.
Atoms (fractional coordinates):
Cs: 0.1853 0.1853 0.0000  4 Os 3.59-3.72, 1 Cs 4.01
Cs: 0.3147 0.6853 0.5000  4 Os 3.59-3.72, 1 Cs 4.01
Cs: 0.6853 0.3147 0.5000  4 Os 3.59-3.72, 1 Cs 4.01
Cs: 0.8147 0.8147 0.0000  4 Os 3.59-3.72, 1 Cs 4.01
Os: 0.1028 0.1028 0.5000  1 Os 2.23
Os: 0.3972 0.6028 0.0000  1 Os 2.23
Os: 0.6028 0.3972 0.0000  1 Os 2.23
Os: 0.8972 0.8972 0.5000  1 Os 2.23

Calculated values
- Crystal system: tetragonal
- Theoretical density: 5.06 g/cm³

---

#x
The following is a DFT calculation (GGA-PBE) of crystalline CsOs at its relaxed geometry.

Unit cell a=3.3850 b=3.7986 c=11.3005 alpha=90.00 beta=90.00 gamma=90.00
With the nearest neighbours (Å) after each atom.
Atoms (fractional coordinates):
Cs: 0.2500 0.2500 0.2323  2 Cs 3.39, 4 Os 3.51-3.53
Cs: 0.7500 0.7500 0.7677  2 Cs 3.39, 4 Os 3.51-3.53
Os: 0.2500 0.7500 0.4958  4 Os 2.55
Os: 0.7500 0.2500 0.5042  4 Os 2.55

Calculated values
- Crystal system: orthorhombic
- Theoretical density: 7.39 g/cm³

---

#y
The following is a DFT calculation (GGA-PBE) of crystalline CsOs at its relaxed geometry.

Unit cell a=12.5290 b=12.5290 c=4.0291 alpha=90.00 beta=90.00 gamma=90.00
With the nearest neighbours (Å) after each atom.
Atoms (fractional coordinates):
Cs: 0.0701 0.2163 0.0000  3 Os 3.42-3.63
Cs: 0.2163 0.9299 0.0000  3 Os 3.42-3.63
Cs: 0.2752 0.4043 0.5000  3 Os 3.50-3.71
Cs: 0.4043 0.7248 0.5000  3 Os 3.50-3.71
Cs: 0.5957 0.2752 0.5000  3 Os 3.50-3.71
Cs: 0.7248 0.5957 0.5000  3 Os 3.50-3.71
Cs: 0.7837 0.0701 0.0000  3 Os 3.42-3.63
Cs: 0.9299 0.7837 0.0000  3 Os 3.42-3.63
Os: 0.0565 0.5784 0.5000  3 Os 2.36-2.42
Os: 0.1461 0.6167 0.0000  2 Os 2.36
Os: 0.3833 0.1461 0.0000  2 Os 2.36
Os: 0.4216 0.0565 0.5000  3 Os 2.36-2.42
Os: 0.5784 0.9435 0.5000  3 Os 2.36-2.42
Os: 0.6167 0.8539 0.0000  2 Os 2.36
Os: 0.8539 0.3833 0.0000  2 Os 2.36
Os: 0.9435 0.4216 0.5000  3 Os 2.36-2.42

Calculated values
- Crystal system: tetragonal
- Theoretical density: 6.79 g/cm³

---

Of them, #w has the lowest stability.

---

#w
The following is a DFT calculation (GGA-PBE) of crystalline CsP2Os at its relaxed geometry.

Unit cell a=7.0644 b=7.0644 c=7.0644 alpha=120.00 beta=120.00 gamma=90.00
With the nearest neighbours (Å) after each atom.
Atoms (fractional coordinates):
Cs: 0.0000 0.0000 0.0000  8 P 3.76-4.17
Cs: 0.7500 0.2500 0.5000  8 P 3.76-4.17
P: 0.3102 0.6250 0.1852  2 Os 2.21
P: 0.3750 0.5602 0.6852  2 Os 2.21
P: 0.4398 0.1250 0.8148  2 Os 2.21
P: 0.8750 0.6898 0.3148  2 Os 2.21
Os: 0.2500 0.7500 0.5000  4 P 2.21
Os: 0.5000 0.5000 0.0000  4 P 2.21

Calculated values
- Crystal system: tetragonal
- Theoretical density: 5.13 g/cm³

---

#x
The following is a DFT calculation (GGA-PBE) of crystalline CsP2Os at its relaxed geometry.

Unit cell a=4.7609 b=4.7609 c=4.7609 alpha=60.00 beta=60.00 gamma=60.00
With the nearest neighbours (Å) after each atom.
Atoms (fractional coordinates):
Cs: 0.0000 0.0000 0.0000  8 P 2.92
P: 0.2500 0.2500 0.2500  4 Os 2.92, 4 Cs 2.92
P: 0.7500 0.7500 0.7500  4 Os 2.92, 4 Cs 2.92
Os: 0.5000 0.5000 0.5000  8 P 2.92

Calculated values
- Crystal system: cubic
- Theoretical density: 8.38 g/cm³

---

Of them, #x has the lowest stability.